[1]
# Cd2Hg6Pb GGA-PBE optimized geometry
# D(E_F)   0.307 states/eV/atom
# Crystal system   monoclinic
# Formation energy   0.03 eV/atom
# Energy above the lowest structure with this stoichiometry   0.0 kJ per mole of atoms
# ρ   11.3 g/cm³
data_Cd2Hg6Pb
_cell_length_a 3.314
_cell_length_b 8.737
_cell_length_c 10.169
_cell_angle_alpha 115.44
_cell_angle_beta 67.05
_cell_angle_gamma 90.00
_symmetry_space_group_name_H-M 'P 1'
_symmetry_Int_Tables_number 1
_symmetry_space_group_name_Hall 'P 1'
loop_
_atom_site_label
_atom_site_fract_x
_atom_site_fract_y
_atom_site_fract_z
Pb1 0.000 0.000 0.000
Hg1 0.500 0.672 0.000
Hg2 0.525 0.648 0.660
Hg3 0.475 0.352 0.340
Hg4 0.525 0.012 0.660
Cd1 0.986 0.666 0.331
Hg5 0.500 0.328 0.000
Hg6 0.475 0.988 0.340
Cd2 0.014 0.334 0.669

=====

[2]
# Cd2Hg9Pb GGA-PBE optimized geometry
# D(E_F)   0.437 states/eV/atom
# Crystal system   hexagonal
# Formation energy   0.04 eV/atom
# Energy above the lowest structure with this stoichiometry   1.6 kJ per mole of atoms
# ρ   11.8 g/cm³
data_Cd2Hg9Pb
_cell_length_a 3.336
_cell_length_b 10.459
_cell_length_c 10.459
_cell_angle_alpha 120.00
_cell_angle_beta 90.00
_cell_angle_gamma 90.00
_symmetry_space_group_name_H-M 'P 1'
_symmetry_Int_Tables_number 1
_symmetry_space_group_name_Hall 'P 1'
loop_
_atom_site_label
_atom_site_fract_x
_atom_site_fract_y
_atom_site_fract_z
Hg1 0.000 0.000 0.500
Hg2 0.000 0.500 0.500
Hg3 0.500 0.825 0.175
Hg4 0.500 0.651 0.825
Hg5 0.500 0.175 0.349
Cd1 0.000 0.667 0.333
Hg6 0.000 0.500 0.000
Cd2 0.000 0.333 0.667
Hg7 0.500 0.175 0.825
Pb1 0.000 0.000 0.000
Hg8 0.500 0.825 0.651
Hg9 0.500 0.349 0.175